Material: Hf2NbMoI
Method: DFT, PBE-GGA
State: optimized geometry

The structure in extended XYZ format:
```
5
Lattice="4.979 0.000 0.000 0.000 4.979 0.000 0.000 0.000 5.193" Properties=species:S:1:pos:R:3 pbc="T T T"
Hf 0.000 2.490 0.000
Hf 2.490 0.000 0.000
Nb 0.000 0.000 2.597
Mo 2.490 2.490 0.000
I 2.490 2.490 2.597
```

Fermi-level density of states in states/eV/cell: 4.7
Raw formation energy in kJ/mol of formula units: 671
Magnetization in μB per formula unit: 2.4